#P
Entry from the Alexandria database: crystalline InGeBi3 at its relaxed geometry (GGA-PBE).

```
InGeBi3
1.0
5.720 0.000 0.000
0.000 5.720 0.000
0.000 0.000 5.720
In Ge Bi
1 1 3
Cartesian
0.000 0.000 0.000
2.860 2.860 2.860
0.000 0.000 2.860
0.000 2.860 0.000
2.860 0.000 0.000
```

Results
- Calculated volume: 187 Å³ per cell
- SG: Pm-3m, No. 221

#Q
Entry from the Alexandria database: crystalline InGeBi3 at its relaxed geometry (GGA-PBE).

```
InGeBi3
1.0
5.594 0.000 0.000
0.000 5.594 0.000
0.000 0.000 5.594
In Ge Bi
1 1 3
Cartesian
0.000 0.000 0.000
2.797 2.797 2.797
0.000 2.797 2.797
2.797 0.000 2.797
2.797 2.797 0.000
```

Results
- Calculated volume: 175 Å³ per cell
- SG: Pm-3m, No. 221

Which of them is most stable, and which least? Most stable: #Q; least stable: #P.

#P
Entry from the Alexandria database: crystalline InGeBiO2 at its relaxed geometry (GGA-PBE).

```
InGeBiO2
1.0
4.209 0.000 0.000
0.000 4.209 0.000
0.000 0.000 5.417
In Ge Bi O
1 1 1 2
Cartesian
0.000 0.000 0.000
0.000 0.000 2.709
2.105 2.105 2.709
0.000 2.105 0.000
2.105 0.000 0.000
```

Results
- Calculated volume: 96 Å³ per cell
- SG: P4/mmm, No. 123

#Q
Entry from the Alexandria database: crystalline InGeBiO2 at its relaxed geometry (GGA-PBE).

```
InGeBiO2
1.0
4.064 0.000 0.000
0.000 4.064 0.000
0.000 0.000 5.668
In Ge Bi O
1 1 1 2
Cartesian
0.000 0.000 0.000
2.032 2.032 2.834
2.032 2.032 0.000
0.000 2.032 2.834
2.032 0.000 2.834
```

Results
- Calculated volume: 94 Å³ per cell
- SG: P4/mmm, No. 123

Which of them is most stable, and which least? Most stable: #Q; least stable: #P.

#P
Entry from the Alexandria database: crystalline GeBi3Ir at its relaxed geometry (GGA-PBE).

```
GeBi3Ir
1.0
5.369 0.000 0.000
0.000 5.369 0.000
0.000 0.000 5.369
Ge Bi Ir
1 3 1
Cartesian
0.000 0.000 0.000
0.000 2.685 2.685
2.685 0.000 2.685
2.685 2.685 0.000
2.685 2.685 2.685
```

Results
- Calculated volume: 155 Å³ per cell
- SG: Pm-3m, No. 221

#Q
Entry from the Alexandria database: crystalline GeBi3Ir at its relaxed geometry (GGA-PBE).

```
GeBi3Ir
1.0
5.333 0.000 0.000
0.000 5.333 0.000
0.000 0.000 5.333
Ge Bi Ir
1 3 1
Cartesian
0.000 0.000 0.000
0.000 0.000 2.666
0.000 2.666 0.000
2.666 0.000 0.000
2.666 2.666 2.666
```

Results
- Calculated volume: 152 Å³ per cell
- SG: Pm-3m, No. 221

Which of them is most stable, and which least? Most stable: #P; least stable: #Q.

#P
Entry from the Alexandria database: crystalline GeBiIr2 at its relaxed geometry (GGA-PBE).

```
GeBiIr2
1.0
0.000 3.297 3.297
3.297 0.000 3.297
3.297 3.297 0.000
Ge Bi Ir
1 1 2
Cartesian
0.000 0.000 0.000
3.297 3.297 3.297
1.648 1.648 1.648
4.945 4.945 4.945
```

Results
- Calculated volume: 72 Å³ per cell
- SG: Fm-3m, No. 225

#Q
Entry from the Alexandria database: crystalline GeBiIr2 at its relaxed geometry (GGA-PBE).

```
GeBiIr2
1.0
-2.818 2.818 6.170
2.818 -2.818 6.170
2.818 2.818 -6.170
Ge Bi Ir
2 2 4
Cartesian
0.000 0.000 0.000
0.000 2.818 3.085
2.818 0.000 3.085
0.000 0.000 6.170
4.227 1.161 -1.543
1.161 1.409 1.543
-1.409 1.657 4.628
1.657 1.409 7.713
```

Results
- Calculated volume: 196 Å³ per cell
- SG: I-42d, No. 122

Which of them is most stable, and which least? Most stable: #Q; least stable: #P.

#P
Entry from the Alexandria database: crystalline K2GeBi at its relaxed geometry (GGA-PBE).

```
K2GeBi
1.0
0.000 4.092 4.092
4.092 0.000 4.092
4.092 4.092 0.000
K Ge Bi
2 1 1
Cartesian
2.046 2.046 2.046
6.137 6.137 6.137
0.000 0.000 0.000
4.092 4.092 4.092
```

Results
- Calculated volume: 137 Å³ per cell
- SG: Fm-3m, No. 225

#Q
Entry from the Alexandria database: crystalline K2GeBi at its relaxed geometry (GGA-PBE).

```
K2GeBi
1.0
5.493 -4.329 0.000
5.493 4.329 0.000
0.000 0.000 5.891
K Ge Bi
4 2 2
Cartesian
2.036 1.416 1.473
2.036 -1.416 4.418
8.951 1.416 1.473
8.951 -1.416 4.418
5.493 0.000 0.000
5.493 0.000 2.945
5.493 2.740 1.473
5.493 -2.740 4.418
```

Results
- Calculated volume: 280 Å³ per cell
- SG: Cmcm, No. 63

#R
Entry from the Alexandria database: crystalline K2GeBi at its relaxed geometry (GGA-PBE).

```
K2GeBi
1.0
11.102 0.000 0.000
0.000 6.959 0.000
-3.426 0.000 8.769
K Ge Bi
8 4 4
Cartesian
1.656 1.598 0.998
-0.057 1.882 5.382
1.536 5.070 2.888
-0.177 5.369 7.272
7.853 1.590 1.497
6.140 1.890 5.882
7.734 5.077 3.387
6.021 5.361 7.772
2.944 0.903 4.265
1.231 2.576 8.650
6.445 4.383 0.120
4.732 6.056 4.504
3.029 4.045 5.919
4.742 6.393 1.535
2.935 0.566 7.235
4.648 2.914 2.850
```

Results
- Calculated volume: 678 Å³ per cell
- SG: P2_1/c, No. 14

#S
Entry from the Alexandria database: crystalline K2GeBi at its relaxed geometry (GGA-PBE).

```
K2GeBi
1.0
-6.558 6.558 2.769
6.558 -6.558 2.769
6.558 6.558 -2.769
K Ge Bi
4 2 2
Cartesian
0.020 3.279 0.692
-3.279 6.539 2.077
-0.020 9.837 0.692
3.279 6.578 2.077
0.000 0.000 0.000
0.000 6.558 1.385
6.558 0.000 1.385
0.000 0.000 2.769
```

Results
- Calculated volume: 476 Å³ per cell
- SG: I-42d, No. 122

Which of them is most stable, and which least? Most stable: #Q; least stable: #P.

#P
Entry from the Alexandria database: crystalline KGe3Bi at its relaxed geometry (GGA-PBE).

```
KGe3Bi
1.0
5.676 0.000 0.000
0.000 5.676 0.000
0.000 0.000 5.676
K Ge Bi
1 3 1
Cartesian
0.000 0.000 0.000
0.000 2.838 2.838
2.838 0.000 2.838
2.838 2.838 0.000
2.838 2.838 2.838
```

Results
- Calculated volume: 183 Å³ per cell
- SG: Pm-3m, No. 221

#Q
Entry from the Alexandria database: crystalline KGe3Bi at its relaxed geometry (GGA-PBE).

```
KGe3Bi
1.0
5.458 0.000 0.000
0.000 5.458 0.000
0.000 0.000 5.458
K Ge Bi
1 3 1
Cartesian
0.000 0.000 0.000
0.000 0.000 2.729
0.000 2.729 0.000
2.729 0.000 0.000
2.729 2.729 2.729
```

Results
- Calculated volume: 163 Å³ per cell
- SG: Pm-3m, No. 221

Which of them is most stable, and which least? Most stable: #P; least stable: #Q.